This record from Alexandria describes a geometry-optimized Na3Sn5Bi2 structure. The functional is PBE.

Properties
E above lowest polymorph in meV per atom: 0
SG: Ibam
Total magnetization in μB/atom: 0.00
DFT formation energy in eV per formula unit: -0.92
VASP energy in Ry/atom: -0.2400
Calculated density in Mg/m³: 5.377

Lattice parameters (Å, degrees): 6.9101 10.4256 10.4256 86.76 70.65 70.65
Atoms (fractional coordinates):
Sn 0.1232 0.5061 0.2476
Sn 0.9972 0.7528 0.7528
Sn 0.6232 0.2476 0.5061
Sn 0.2500 0.5000 0.5000
Sn 0.4972 0.7528 0.7528
Sn 0.3768 0.7524 0.4939
Sn 0.7500 0.5000 0.5000
Sn 0.5028 0.2472 0.2472
Sn 0.8768 0.4939 0.7524
Sn 0.0028 0.2472 0.2472
Na 0.2500 0.0000 0.0000
Na 0.1249 0.1215 0.6288
Na 0.3751 0.3712 0.8785
Na 0.6249 0.6288 0.1215
Na 0.7500 0.0000 0.0000
Na 0.8751 0.8785 0.3712
Bi 0.3613 0.9835 0.2940
Bi 0.8613 0.2940 0.9835
Bi 0.6387 0.0165 0.7060
Bi 0.1387 0.7060 0.0165

---

This record from Alexandria describes a geometry-optimized Na2SnBi structure. The functional is PBE.

Properties
SG: I-42d
Total magnetization in μB/atom: 0.00
DFT formation energy in eV per formula unit: 0.05
VASP energy in Ry/atom: -0.1924
Calculated density in Mg/m³: 4.953

Lattice parameters (Å, degrees): 9.0072 9.0072 7.0784 50.49 50.49 90.00
Atoms (fractional coordinates):
Na 0.8750 0.8778 0.7500
Na 0.3750 0.3722 0.7500
Na 0.1222 0.6250 0.2500
Na 0.6278 0.1250 0.2500
Bi 0.0000 0.0000 0.0000
Bi 0.7500 0.2500 0.5000
Sn 0.2500 0.7500 0.5000
Sn 0.5000 0.5000 0.0000

---

This record from Alexandria describes a geometry-optimized Na2SnBi structure. The functional is PBE.

Properties
SG: F-43m
Total magnetization in μB/atom: 0.00
DFT formation energy in eV per formula unit: -0.77
VASP energy in Ry/atom: -0.2076
Calculated density in Mg/m³: 5.257

Lattice parameters (Å, degrees): 5.5043 5.5043 5.5079 60.02 60.02 60.00
Atoms (fractional coordinates):
Sn 0.4999 0.4999 0.5002
Bi 0.7501 0.7501 0.7497
Na 0.9999 0.9999 0.0002
Na 0.2500 0.2500 0.2499

---

This record from Alexandria describes a geometry-optimized Na2SnBi structure. The functional is PBE.

Properties
SG: Pmmm
Total magnetization in μB/atom: 0.00
DFT formation energy in eV per formula unit: -0.88
VASP energy in Ry/atom: -0.2095
Calculated density in Mg/m³: 5.557

Lattice parameters (Å, degrees): 3.4816 4.8576 6.6028 90.00 90.00 90.00
Atoms (fractional coordinates):
Na 0.5000 0.0000 0.7508
Na 0.5000 0.0000 0.2492
Bi 0.0000 0.5000 0.5000
Sn 0.0000 0.5000 0.0000

---

> Which of these has the highest DFT formation energy?

number 2

---

> The highest calculated density belongs to which entry?

number 4